# 1
Computed, not measured: MoP2W after structural relaxation at the GGA-PBE level of DFT.

Results
Size of the total moment   0.00 μB per formula unit
E   -8.98 eV/atom
V   14.1 Å³/atom
Energy relative to the elements   -32 kJ per mole of atoms

Cell: 8.5023 3.1222 4.4054 Å, 90.00 105.75 90.00°
Space group Cm (No. 8)
One atom of each set of equivalent atoms:
Mo  0.0000  0.0000  0.0000 (multiplicity 2)
P  0.0072  0.5000  0.5233 (multiplicity 2)
P  0.2635  0.0000  0.8613 (multiplicity 2)
W  0.2704  0.5000  0.3854 (multiplicity 2)

***

# 2
Computed, not measured: MoPW2 after structural relaxation at the GGA-PBE level of DFT.

Results
Size of the total moment   0.00 μB per formula unit
E   -10.34 eV/atom
V   15.3 Å³/atom
Energy relative to the elements   19 kJ per mole of atoms

Cell: 2.9492 4.1129 5.0486 Å, 90.00 92.42 90.00°
Space group P2/m (No. 10)
One atom of each set of equivalent atoms:
Mo  0.0000  0.0000  0.0000 (multiplicity 1)
P  0.0000  0.0000  0.5000 (multiplicity 1)
W  0.4614  0.5000  0.7436 (multiplicity 2)